w:
GGA-PBE Pm2Ge3Pd5, relaxed; magnetic moment = 0.00 μB/f.u.; symmetry = Ibam, No. 72
1.0
-5.755 1.346 -0.382
-4.454 -4.351 5.854
-1.862 6.535 5.183
Pm Ge Pd
4 6 10
direct
0.135 0.590 0.140
0.635 0.140 0.590
0.865 0.410 0.860
0.365 0.860 0.410
0.363 0.518 0.755
0.863 0.755 0.518
0.637 0.482 0.245
0.137 0.245 0.482
0.250 0.000 0.000
0.750 0.000 0.000
0.403 0.262 0.933
0.903 0.933 0.262
0.597 0.738 0.067
0.097 0.067 0.738
0.481 0.769 0.769
0.519 0.231 0.231
0.750 0.500 0.500
0.250 0.500 0.500
0.019 0.231 0.231
0.981 0.769 0.769

x:
GGA-PBE Pm2Ge3Pd5, relaxed; magnetic moment = 0.00 μB/f.u.; symmetry = Cmc2_1, No. 36
1.0
4.356 0.000 -0.742
0.000 6.958 0.000
-0.155 0.000 12.244
Pm Ge Pd
4 6 10
direct
0.480 0.757 0.960
0.174 0.740 0.348
0.826 0.240 0.652
0.520 0.257 0.040
0.775 0.678 0.550
0.603 0.577 0.207
0.055 0.954 0.109
0.225 0.178 0.450
0.945 0.454 0.891
0.397 0.077 0.793
0.390 0.464 0.781
0.274 0.493 0.547
0.726 0.993 0.453
0.124 0.243 0.247
0.303 0.895 0.606
0.950 0.063 0.900
0.697 0.395 0.394
0.876 0.743 0.753
0.050 0.563 0.100
0.610 0.964 0.219

Most stable structure: w

w:
GGA-PBE Pm2Ge2Pd3, relaxed; magnetic moment = 0.00 μB/f.u.; symmetry = Cmcm, No. 63
1.0
4.040 0.000 -0.963
0.000 7.052 0.000
0.266 0.000 10.071
Pm Ge Pd
4 4 6
direct
0.157 0.250 0.313
0.843 0.750 0.687
0.944 0.250 0.888
0.056 0.750 0.112
0.688 0.947 0.376
0.312 0.053 0.624
0.312 0.447 0.624
0.688 0.553 0.376
0.220 0.750 0.440
0.780 0.250 0.560
0.564 0.444 0.127
0.436 0.556 0.873
0.436 0.944 0.873
0.564 0.056 0.127

x:
GGA-PBE Pm2Ge2Pd3, relaxed; magnetic moment = 0.00 μB/f.u.; symmetry = C2/m, No. 12
1.0
4.066 0.000 0.000
-2.033 5.259 -0.153
0.000 -2.605 6.582
Pm Ge Pd
2 2 3
direct
0.869 0.738 0.233
0.131 0.262 0.767
0.845 0.691 0.778
0.155 0.309 0.222
0.500 0.000 0.000
0.624 0.248 0.434
0.376 0.752 0.566

Most stable structure: x

w:
GGA-PBE PmGePd4, relaxed; magnetic moment = 0.00 μB/f.u.; symmetry = Pmma, No. 51
1.0
3.970 0.000 0.000
0.000 7.049 0.000
0.000 0.000 7.754
Pm Ge Pd
2 2 8
direct
0.000 0.640 0.750
0.000 0.360 0.250
0.000 0.215 0.750
0.000 0.785 0.250
0.000 0.000 0.500
0.000 0.000 0.000
0.500 0.952 0.750
0.500 0.048 0.250
0.500 0.694 0.055
0.500 0.306 0.945
0.500 0.694 0.445
0.500 0.306 0.555

x:
GGA-PBE PmGePd4, relaxed; magnetic moment = 0.00 μB/f.u.; symmetry = P4_2/nmc, No. 137
1.0
5.351 0.000 0.000
0.000 5.351 0.000
0.000 0.000 8.899
Pm Ge Pd
2 2 8
direct
0.000 0.000 0.500
0.500 0.500 0.000
0.000 0.000 0.000
0.500 0.500 0.500
0.262 0.000 0.214
0.738 0.000 0.214
0.000 0.738 0.786
0.000 0.262 0.786
0.500 0.238 0.714
0.762 0.500 0.286
0.238 0.500 0.286
0.500 0.762 0.714

y:
GGA-PBE PmGePd4, relaxed; magnetic moment = 0.00 μB/f.u.; symmetry = F-43m, No. 216
1.0
5.378 0.000 0.000
2.689 4.657 0.000
2.689 1.552 4.391
Ge Pd Pm
1 4 1
direct
0.000 0.000 0.000
0.625 0.625 0.124
0.625 0.124 0.625
0.625 0.625 0.625
0.124 0.625 0.625
0.250 0.250 0.250

Most stable structure: w

w:
GGA-PBE Pm3Ge3Pd, relaxed; magnetic moment = 0.00 μB/f.u.; symmetry = P6_3/m, No. 176
1.0
5.884 0.000 0.000
0.000 8.676 0.000
0.000 -4.338 7.514
Pm Ge Pd
6 6 2
direct
0.750 0.689 0.610
0.750 0.390 0.079
0.750 0.921 0.311
0.250 0.311 0.390
0.250 0.610 0.921
0.250 0.079 0.689
0.250 0.716 0.641
0.250 0.359 0.075
0.250 0.925 0.284
0.750 0.284 0.359
0.750 0.641 0.925
0.750 0.075 0.716
0.250 0.667 0.333
0.750 0.333 0.667

x:
GGA-PBE Pm3Ge3Pd, relaxed; magnetic moment = 0.00 μB/f.u.; symmetry = C2/m, No. 12
1.0
4.359 0.000 0.657
2.149 5.459 0.532
0.175 0.068 13.633
Pm Ge Pd
6 6 2
direct
0.533 0.315 0.620
0.467 0.685 0.380
0.258 0.257 0.228
0.742 0.743 0.772
0.399 0.279 0.923
0.601 0.721 0.077
0.872 0.709 0.546
0.128 0.291 0.454
0.119 0.837 0.924
0.881 0.163 0.076
0.965 0.839 0.231
0.035 0.161 0.769
0.755 0.091 0.399
0.245 0.909 0.601

Most stable structure: x

w:
GGA-PBE PmGe2Pd, relaxed; magnetic moment = 0.00 μB/f.u.; symmetry = P4/mmm, No. 123
1.0
3.307 0.000 0.000
0.000 3.307 0.000
0.000 0.000 7.116
Ge Pd Pm
2 1 1
direct
0.000 0.000 0.796
0.000 0.000 0.204
0.500 0.500 0.000
0.500 0.500 0.500

x:
GGA-PBE PmGe2Pd, relaxed; magnetic moment = 0.00 μB/f.u.; symmetry = Pnma, No. 62
1.0
4.318 0.000 0.000
0.000 10.934 0.000
0.000 0.000 13.861
Pm Ge Pd
8 16 8
direct
0.750 0.482 0.705
0.250 0.982 0.795
0.250 0.518 0.295
0.750 0.018 0.205
0.750 0.256 0.956
0.250 0.756 0.544
0.250 0.744 0.044
0.750 0.244 0.456
0.750 0.968 0.959
0.250 0.468 0.541
0.250 0.032 0.041
0.750 0.532 0.459
0.750 0.759 0.883
0.250 0.259 0.617
0.250 0.241 0.117
0.750 0.741 0.383
0.750 0.764 0.699
0.250 0.264 0.801
0.250 0.236 0.301
0.750 0.736 0.199
0.750 0.977 0.629
0.250 0.477 0.871
0.250 0.023 0.371
0.750 0.523 0.129
0.750 0.545 0.943
0.250 0.045 0.557
0.250 0.455 0.057
0.750 0.955 0.443
0.750 0.305 0.211
0.250 0.805 0.289
0.250 0.695 0.789
0.750 0.195 0.711

y:
GGA-PBE PmGe2Pd, relaxed; magnetic moment = 0.00 μB/f.u.; symmetry = Amm2, No. 38
1.0
4.024 0.000 0.000
0.000 4.781 0.264
0.000 -0.874 4.708
Pm Ge Pd
1 2 1
direct
0.000 0.999 0.001
0.500 0.885 0.493
0.500 0.507 0.115
0.500 0.389 0.611

z:
GGA-PBE PmGe2Pd, relaxed; magnetic moment = 0.00 μB/f.u.; symmetry = P4/mmm, No. 123
1.0
4.291 0.000 0.000
0.000 4.306 0.000
0.000 0.000 4.306
Ge Pd Pm
2 1 1
direct
0.000 0.000 0.500
0.000 0.500 0.000
0.500 0.000 0.000
0.500 0.500 0.500

Most stable structure: x

w:
GGA-PBE PmGePd3, relaxed; magnetic moment = 0.00 μB/f.u.; symmetry = Pm-3m, No. 221
1.0
-1.595 -4.439 0.047
0.614 -0.171 4.674
-4.397 1.587 0.635
Ge Pd Pm
1 3 1
direct
0.000 0.000 0.000
0.000 0.500 0.000
0.000 0.000 0.500
0.500 0.000 0.000
0.500 0.500 0.500

x:
GGA-PBE PmGePd3, relaxed; magnetic moment = 0.00 μB/f.u.; symmetry = Cmcm, No. 63
1.0
6.270 0.790 0.000
3.029 5.546 0.000
0.000 0.000 5.879
Pm Ge Pd
2 2 6
direct
0.023 0.225 0.052
0.538 0.740 0.552
0.897 0.100 0.552
0.663 0.866 0.052
0.111 0.314 0.552
0.449 0.652 0.052
0.520 0.243 0.802
0.520 0.243 0.302
0.041 0.722 0.302
0.041 0.722 0.802

Most stable structure: x